An optimized crystal structure of PuFe2BiO8. Source: Alexandria, functional PBE+U.

a b c (Å): 5.962 5.962 5.962
angles (deg): 108.92 108.92 110.57
Sites, in units of the cell vectors:
Pu: 0.000 0.000 0.000
Fe: 0.500 0.500 0.000
Fe: 0.750 0.250 0.500
Bi: 0.250 0.750 0.500
O: 0.298 0.117 0.819
O: 0.298 0.478 0.181
O: 0.362 0.060 0.302
O: 0.522 0.702 0.819
O: 0.758 0.060 0.698
O: 0.883 0.702 0.181
O: 0.940 0.242 0.302
O: 0.940 0.638 0.698

The electronic total energy comes out at -7.29 eV/atom. The calculation puts the density of states at the Fermi level at 4.02 states/eV/cell. The value obtained for the total magnetization is 11.28 μB/f.u.